Entry 1:
# NaSr2In2 | Alexandria | GGA-PBE | relaxed
# Formation energy = -0.31 eV/f.u.
# E above lowest polymorph = 0.2368 eV per atom
data_NaSr2In2
_chemical_formula_sum 'Na2 Sr4 In4'
_space_group_name_H-M_alt 'I 4/m m m'
_space_group_IT_number 139
_space_group_name_Hall '-I 4 2'
_cell_length_a 4.4180
_cell_length_b 4.4180
_cell_length_c 20.4585
_cell_angle_alpha 90.00
_cell_angle_beta 90.00
_cell_angle_gamma 90.00
loop_
_atom_site_label
_atom_site_fract_x
_atom_site_fract_y
_atom_site_fract_z
Na1 0.0000 0.0000 0.0000
Sr1 0.0000 0.0000 0.3849
In1 0.0000 0.5000 0.2500

Entry 2:
# Tm8GaPb2 | Alexandria | GGA-PBE | relaxed
# Formation energy = -2.67 eV/f.u.
data_Tm8GaPb2
_chemical_formula_sum 'Tm16 Ga2 Pb4'
_space_group_name_H-M_alt 'C 1 2/m 1'
_space_group_IT_number 12
_space_group_name_Hall '-C 2y'
_cell_length_a 19.1935
_cell_length_b 4.9984
_cell_length_c 6.6632
_cell_angle_alpha 90.00
_cell_angle_beta 103.98
_cell_angle_gamma 90.00
loop_
_atom_site_label
_atom_site_fract_x
_atom_site_fract_y
_atom_site_fract_z
Tm1 0.0188 0.0000 0.2737
Tm2 0.0893 0.5000 0.9685
Tm3 0.1506 0.5000 0.5076
Tm4 0.2153 0.0000 0.8276
Ga1 0.0000 0.5000 0.5000
Pb1 0.1812 0.0000 0.2668

Entry 3:
# Tm3Ga9Cu2 | Alexandria | GGA-PBE | relaxed
# Formation energy = -6.33 eV/f.u.
data_Tm3Ga9Cu2
_chemical_formula_sum 'Tm6 Ga18 Cu4'
_space_group_name_H-M_alt 'I m m m'
_space_group_IT_number 71
_space_group_name_Hall '-I 2 2'
_cell_length_a 4.1589
_cell_length_b 10.0082
_cell_length_c 12.0264
_cell_angle_alpha 90.00
_cell_angle_beta 90.00
_cell_angle_gamma 90.00
loop_
_atom_site_label
_atom_site_fract_x
_atom_site_fract_y
_atom_site_fract_z
Tm1 0.0000 0.0000 0.0000
Tm2 0.0000 0.0000 0.3188
Ga1 0.0000 0.2777 0.1311
Ga2 0.0000 0.3737 0.3386
Ga3 0.0000 0.5000 0.0000
Cu1 0.0000 0.2164 0.5000

Entry 4:
# Na2AlCd5Ag2 | Alexandria | GGA-PBE | relaxed
# Formation energy = -0.10 eV/f.u.
data_Na2AlCd5Ag2
_chemical_formula_sum 'Na4 Al2 Cd10 Ag4'
_space_group_name_H-M_alt 'P 4/m b m'
_space_group_IT_number 127
_space_group_name_Hall '-P 4 2ab'
_cell_length_a 11.2542
_cell_length_b 11.2542
_cell_length_c 3.7004
_cell_angle_alpha 90.00
_cell_angle_beta 90.00
_cell_angle_gamma 90.00
loop_
_atom_site_label
_atom_site_fract_x
_atom_site_fract_y
_atom_site_fract_z
Na1 0.1737 0.3263 0.0000
Al1 0.0000 0.0000 0.0000
Cd1 0.0000 0.5000 0.5000
Cd2 0.0600 0.8100 0.5000
Ag1 0.1321 0.6321 0.0000